[1]
Below is a relaxed PtSe crystal, with properties calculated at the PBE level.

Computed properties:
- SG = F-43m
- DFT total energy (eV per cell) = -9.506

Cell and atoms, written as CIF:
```
data_PtSe
_chemical_formula_sum 'Pt1 Se1'
_cell_length_a 4.0135
_cell_length_b 4.0135
_cell_length_c 4.0135
_cell_angle_alpha 60.00
_cell_angle_beta 60.00
_cell_angle_gamma 60.00
_symmetry_space_group_name_H-M 'P 1'
_symmetry_Int_Tables_number 1
loop_
_symmetry_equiv_pos_as_xyz
'x,y,z'
loop_
_atom_site_label
_atom_site_fract_x
_atom_site_fract_y
_atom_site_fract_z
Se1 0.2500 0.2500 0.2500
Pt1 0.0000 0.0000 0.0000
```


[2]
Below is a relaxed PtSe2 crystal, with properties calculated at the PBE level.

Computed properties:
- SG = Pnma
- DFT total energy (eV per cell) = -54.986

Cell and atoms, written as CIF:
```
data_PtSe2
_chemical_formula_sum 'Pt4 Se8'
_cell_length_a 9.6324
_cell_length_b 3.8089
_cell_length_c 7.0216
_cell_angle_alpha 90.00
_cell_angle_beta 90.00
_cell_angle_gamma 90.00
_symmetry_space_group_name_H-M 'P 1'
_symmetry_Int_Tables_number 1
loop_
_symmetry_equiv_pos_as_xyz
'x,y,z'
loop_
_atom_site_label
_atom_site_fract_x
_atom_site_fract_y
_atom_site_fract_z
Se1 0.2945 0.2500 0.4508
Se2 0.2055 0.7500 0.9508
Pt1 0.6504 0.7500 0.9154
Se3 0.5018 0.2500 0.7966
Pt2 0.3496 0.2500 0.0846
Se4 0.4982 0.7500 0.2034
Se5 0.7055 0.7500 0.5492
Se6 0.0018 0.2500 0.7034
Pt3 0.1504 0.7500 0.5846
Pt4 0.8496 0.2500 0.4154
Se7 0.9982 0.7500 0.2966
Se8 0.7945 0.2500 0.0492
```


[3]
Below is a relaxed Pt9Se8 crystal, with properties calculated at the PBE level.

Computed properties:
- SG = Fm-3m
- DFT total energy (eV per cell) = -82.883

Cell and atoms, written as CIF:
```
data_Pt9Se8
_chemical_formula_sum 'Pt9 Se8'
_cell_length_a 7.9845
_cell_length_b 7.9845
_cell_length_c 7.9845
_cell_angle_alpha 60.00
_cell_angle_beta 60.00
_cell_angle_gamma 60.00
_symmetry_space_group_name_H-M 'P 1'
_symmetry_Int_Tables_number 1
loop_
_symmetry_equiv_pos_as_xyz
'x,y,z'
loop_
_atom_site_label
_atom_site_fract_x
_atom_site_fract_y
_atom_site_fract_z
Pt1 0.3754 0.3754 0.3754
Se1 0.2338 0.7662 0.2338
Se2 0.7662 0.2338 0.2338
Se3 0.2338 0.2338 0.7662
Pt2 0.0000 0.0000 0.0000
Se4 0.7662 0.2338 0.7662
Se5 0.2500 0.2500 0.2500
Pt3 0.1261 0.6246 0.6246
Pt4 0.8739 0.3754 0.3754
Pt5 0.6246 0.6246 0.6246
Pt6 0.6246 0.6246 0.1261
Se6 0.2338 0.7662 0.7662
Pt7 0.6246 0.1261 0.6246
Pt8 0.3754 0.3754 0.8739
Se7 0.7500 0.7500 0.7500
Pt9 0.3754 0.8739 0.3754
Se8 0.7662 0.7662 0.2338
```


[4]
Below is a relaxed PtSe2 crystal, with properties calculated at the PBE level.

Computed properties:
- SG = C222_1
- DFT total energy (eV per cell) = -51.959

Cell and atoms, written as CIF:
```
data_PtSe2
_chemical_formula_sum 'Pt4 Se8'
_cell_length_a 3.6449
_cell_length_b 3.6449
_cell_length_c 29.7868
_cell_angle_alpha 90.00
_cell_angle_beta 90.00
_cell_angle_gamma 120.08
_symmetry_space_group_name_H-M 'P 1'
_symmetry_Int_Tables_number 1
loop_
_symmetry_equiv_pos_as_xyz
'x,y,z'
loop_
_atom_site_label
_atom_site_fract_x
_atom_site_fract_y
_atom_site_fract_z
Pt1 0.7405 0.7399 0.5873
Se1 0.4064 0.0741 0.3623
Se2 0.0740 0.4064 0.5382
Pt2 0.2595 0.2601 0.0873
Se3 0.9260 0.5936 0.0382
Se4 0.0741 0.4064 0.6377
Pt3 0.2601 0.2595 0.9127
Se5 0.5936 0.9260 0.9618
Pt4 0.7399 0.7405 0.4127
Se6 0.4064 0.0740 0.4618
Se7 0.9259 0.5936 0.1377
Se8 0.5936 0.9259 0.8623
```


[5]
Below is a relaxed PtSe2 crystal, with properties calculated at the PBE level.

Computed properties:
- SG = P6_3mc
- DFT total energy (eV per cell) = -52.261

Cell and atoms, written as CIF:
```
data_PtSe2
_chemical_formula_sum 'Pt4 Se8'
_cell_length_a 3.6706
_cell_length_b 3.6706
_cell_length_c 21.0728
_cell_angle_alpha 90.00
_cell_angle_beta 90.00
_cell_angle_gamma 120.00
_symmetry_space_group_name_H-M 'P 1'
_symmetry_Int_Tables_number 1
loop_
_symmetry_equiv_pos_as_xyz
'x,y,z'
loop_
_atom_site_label
_atom_site_fract_x
_atom_site_fract_y
_atom_site_fract_z
Pt1 0.6667 0.3333 0.1255
Se1 0.6667 0.3333 0.9400
Pt2 0.6667 0.3333 0.3708
Se2 0.6667 0.3333 0.7991
Pt3 0.3333 0.6667 0.8708
Se3 0.0000 0.0000 0.6959
Se4 0.0000 0.0000 0.0547
Se5 0.3333 0.6667 0.2991
Se6 0.0000 0.0000 0.5547
Pt4 0.3333 0.6667 0.6255
Se7 0.0000 0.0000 0.1959
Se8 0.3333 0.6667 0.4400
```


[6]
Below is a relaxed PtSe2 crystal, with properties calculated at the PBE level.

Computed properties:
- SG = P6_3/mmc
- DFT total energy (eV per cell) = -26.236

Cell and atoms, written as CIF:
```
data_PtSe2
_chemical_formula_sum 'Pt2 Se4'
_cell_length_a 3.6870
_cell_length_b 3.6870
_cell_length_c 10.3040
_cell_angle_alpha 90.00
_cell_angle_beta 90.00
_cell_angle_gamma 120.00
_symmetry_space_group_name_H-M 'P 1'
_symmetry_Int_Tables_number 1
loop_
_symmetry_equiv_pos_as_xyz
'x,y,z'
loop_
_atom_site_label
_atom_site_fract_x
_atom_site_fract_y
_atom_site_fract_z
Se1 0.6667 0.3333 0.6064
Pt1 0.0000 0.0000 0.2500
Se2 0.3333 0.6667 0.3936
Se3 0.6667 0.3333 0.8936
Se4 0.3333 0.6667 0.1064
Pt2 0.0000 0.0000 0.7500
```


[7]
Below is a relaxed PtSe2 crystal, with properties calculated at the PBE level.

Computed properties:
- SG = Cmcm
- DFT total energy (eV per cell) = -26.228

Cell and atoms, written as CIF:
```
data_PtSe2
_chemical_formula_sum 'Pt2 Se4'
_cell_length_a 3.6700
_cell_length_b 3.6700
_cell_length_c 10.3519
_cell_angle_alpha 90.00
_cell_angle_beta 90.00
_cell_angle_gamma 119.87
_symmetry_space_group_name_H-M 'P 1'
_symmetry_Int_Tables_number 1
loop_
_symmetry_equiv_pos_as_xyz
'x,y,z'
loop_
_atom_site_label
_atom_site_fract_x
_atom_site_fract_y
_atom_site_fract_z
Pt1 0.5063 0.4937 0.2500
Pt2 0.4937 0.5063 0.7500
Se1 0.1738 0.8262 0.1051
Se2 0.8262 0.1738 0.6051
Se3 0.1738 0.8262 0.3949
Se4 0.8262 0.1738 0.8949
```


[8]
Below is a relaxed PtSe2 crystal, with properties calculated at the PBE level.

Computed properties:
- SG = R3m
- DFT total energy (eV per cell) = -27.003

Cell and atoms, written as CIF:
```
data_PtSe2
_chemical_formula_sum 'Pt2 Se4'
_cell_length_a 11.0609
_cell_length_b 11.0609
_cell_length_c 11.0609
_cell_angle_alpha 18.86
_cell_angle_beta 18.86
_cell_angle_gamma 18.86
_symmetry_space_group_name_H-M 'P 1'
_symmetry_Int_Tables_number 1
loop_
_symmetry_equiv_pos_as_xyz
'x,y,z'
loop_
_atom_site_label
_atom_site_fract_x
_atom_site_fract_y
_atom_site_fract_z
Se1 0.3704 0.3704 0.3704
Pt1 0.9174 0.9174 0.9174
Se2 0.4615 0.4615 0.4615
Se3 0.2079 0.2079 0.2079
Pt2 0.0820 0.0820 0.0820
Se4 0.6266 0.6266 0.6266
```